Record 1
Entry from OQMD via LeMat-Bulk: a geometry-optimized LaH3Pt structure (PBE).

Properties
**Space group**: No. 10
**Raw total energy**: -48.232 eV/cell

a = 4.597 Å, b = 4.248 Å, c = 6.611 Å
α = 90.00°, β = 91.36°, γ = 90.00°
Fractional coordinates of all 10 atoms:
La1 0.000 0.000 0.000
La2 0.500 0.500 0.500
H1 0.217 0.500 0.155
H2 0.269 0.000 0.331
H3 0.273 0.000 0.676
H4 0.727 0.000 0.324
H5 0.731 0.000 0.669
H6 0.783 0.500 0.845
Pt1 0.000 0.000 0.500
Pt2 0.500 0.500 0.000


Record 2
Entry from OQMD via LeMat-Bulk: a geometry-optimized LaMgReMo structure (PBE).

Properties
**Space group**: No. 216
**Raw total energy**: -109.762 eV/cell

a = 6.815 Å, b = 6.815 Å, c = 6.815 Å
α = 90.00°, β = 90.00°, γ = 90.00°
Fractional coordinates of all 16 atoms:
La1 0.000 0.000 0.000
La2 0.000 0.500 0.500
La3 0.500 0.000 0.500
La4 0.500 0.500 0.000
Mg1 0.250 0.250 0.750
Mg2 0.250 0.750 0.250
Mg3 0.750 0.250 0.250
Mg4 0.750 0.750 0.750
Re1 0.250 0.250 0.250
Re2 0.250 0.750 0.750
Re3 0.750 0.250 0.750
Re4 0.750 0.750 0.250
Mo1 0.000 0.000 0.500
Mo2 0.000 0.500 0.000
Mo3 0.500 0.000 0.000
Mo4 0.500 0.500 0.500


Record 3
Entry from OQMD via LeMat-Bulk: a geometry-optimized AlCoHg structure (PBE).

Properties
**Space group**: No. 216
**Raw total energy**: -42.252 eV/cell

a = 5.932 Å, b = 5.932 Å, c = 5.932 Å
α = 90.00°, β = 90.00°, γ = 90.00°
Fractional coordinates of all 12 atoms:
Al1 0.000 0.000 0.000
Al2 0.000 0.500 0.500
Al3 0.500 0.000 0.500
Al4 0.500 0.500 0.000
Co1 0.250 0.250 0.250
Co2 0.250 0.750 0.750
Co3 0.750 0.250 0.750
Co4 0.750 0.750 0.250
Hg1 0.000 0.000 0.500
Hg2 0.000 0.500 0.000
Hg3 0.500 0.000 0.000
Hg4 0.500 0.500 0.500


Record 4
Entry from OQMD via LeMat-Bulk: a geometry-optimized KScTe3Au structure (PBE).

Properties
**Space group**: No. 63
**Raw total energy**: -50.223 eV/cell

a = 8.459 Å, b = 8.459 Å, c = 11.070 Å
α = 90.00°, β = 90.00°, γ = 151.89°
Fractional coordinates of all 12 atoms:
K1 0.236 0.764 0.750
K2 0.764 0.236 0.250
Sc1 0.000 0.000 0.000
Sc2 0.000 0.000 0.500
Te1 0.076 0.924 0.250
Te2 0.373 0.627 0.040
Te3 0.373 0.627 0.460
Te4 0.627 0.373 0.540
Te5 0.627 0.373 0.960
Te6 0.924 0.076 0.750
Au1 0.461 0.539 0.250
Au2 0.539 0.461 0.750


Record 5
Entry from OQMD via LeMat-Bulk: a geometry-optimized Be2TcPb structure (PBE).

Properties
**Space group**: No. 216
**Raw total energy**: -72.523 eV/cell

a = 6.196 Å, b = 6.196 Å, c = 6.196 Å
α = 90.00°, β = 90.00°, γ = 90.00°
Fractional coordinates of all 16 atoms:
Be1 0.000 0.000 0.000
Be2 0.000 0.500 0.500
Be3 0.250 0.250 0.250
Be4 0.250 0.750 0.750
Be5 0.500 0.000 0.500
Be6 0.500 0.500 0.000
Be7 0.750 0.250 0.750
Be8 0.750 0.750 0.250
Tc1 0.250 0.250 0.750
Tc2 0.250 0.750 0.250
Tc3 0.750 0.250 0.250
Tc4 0.750 0.750 0.750
Pb1 0.000 0.000 0.500
Pb2 0.000 0.500 0.000
Pb3 0.500 0.000 0.000
Pb4 0.500 0.500 0.500


Record 6
Entry from OQMD via LeMat-Bulk: a geometry-optimized LiGa2AgSe4 structure (PBE).

Properties
**Space group**: No. 82
**Raw total energy**: -60.501 eV/cell

a = 5.981 Å, b = 5.981 Å, c = 11.090 Å
α = 90.00°, β = 90.00°, γ = 90.00°
Fractional coordinates of all 16 atoms:
Li1 0.000 0.000 0.000
Li2 0.500 0.500 0.500
Ga1 0.000 0.000 0.500
Ga2 0.000 0.500 0.750
Ga3 0.500 0.000 0.250
Ga4 0.500 0.500 0.000
Ag1 0.000 0.500 0.250
Ag2 0.500 0.000 0.750
Se1 0.227 0.743 0.621
Se2 0.243 0.273 0.879
Se3 0.257 0.227 0.379
Se4 0.273 0.757 0.121
Se5 0.727 0.243 0.121
Se6 0.743 0.773 0.379
Se7 0.757 0.727 0.879
Se8 0.773 0.257 0.621


Record 7
Entry from OQMD via LeMat-Bulk: a geometry-optimized Zn2AsAu structure (PBE).

Properties
**Space group**: No. 216
**Raw total energy**: -39.846 eV/cell

a = 6.528 Å, b = 6.528 Å, c = 6.528 Å
α = 90.00°, β = 90.00°, γ = 90.00°
Fractional coordinates of all 16 atoms:
Zn1 0.000 0.000 0.000
Zn2 0.000 0.500 0.500
Zn3 0.250 0.250 0.250
Zn4 0.250 0.750 0.750
Zn5 0.500 0.000 0.500
Zn6 0.500 0.500 0.000
Zn7 0.750 0.250 0.750
Zn8 0.750 0.750 0.250
As1 0.250 0.250 0.750
As2 0.250 0.750 0.250
As3 0.750 0.250 0.250
As4 0.750 0.750 0.750
Au1 0.000 0.000 0.500
Au2 0.000 0.500 0.000
Au3 0.500 0.000 0.000
Au4 0.500 0.500 0.500


Record 8
Entry from OQMD via LeMat-Bulk: a geometry-optimized Ta2NbGe2 structure (PBE).

Properties
**Space group**: No. 139
**Raw total energy**: -85.287 eV/cell

a = 3.912 Å, b = 3.912 Å, c = 11.725 Å
α = 90.00°, β = 90.00°, γ = 90.00°
Fractional coordinates of all 10 atoms:
Ta1 0.000 0.500 0.250
Ta2 0.000 0.500 0.750
Ta3 0.500 0.000 0.250
Ta4 0.500 0.000 0.750
Nb1 0.000 0.000 0.000
Nb2 0.500 0.500 0.500
Ge1 0.000 0.000 0.401
Ge2 0.000 0.000 0.599
Ge3 0.500 0.500 0.099
Ge4 0.500 0.500 0.901


> Which of these has the lowest raw total energy?

LaMgReMo


> Look up the raw total energy of the second one.

-109.762 eV/cell